[1]
# TaCoSiHg2 GGA-PBE relaxed
data_TaCoSiHg2
_chemical_formula_sum 'Ta1 Co1 Si1 Hg2'
_space_group_name_H-M_alt 'P 4/m m m'
_space_group_IT_number 123
_space_group_name_Hall '-P 4 2'
_cell_length_a 4.876
_cell_length_b 4.876
_cell_length_c 4.152
_cell_angle_alpha 90.00
_cell_angle_beta 90.00
_cell_angle_gamma 90.00
loop_
_atom_site_label
_atom_site_type_symbol
_atom_site_fract_x
_atom_site_fract_y
_atom_site_fract_z
Ta1 Ta 0.000 0.000 0.000
Co1 Co 0.500 0.500 0.000
Si1 Si 0.500 0.500 0.500
Hg1 Hg 0.000 0.500 0.500
# Uncorrected formation energy   1.1362 eV per atom

---

[2]
# CoSi2TcHg GGA-PBE relaxed
data_CoSi2TcHg
_chemical_formula_sum 'Co1 Si2 Tc1 Hg1'
_space_group_name_H-M_alt 'P 4/m m m'
_space_group_IT_number 123
_space_group_name_Hall '-P 4 2'
_cell_length_a 4.608
_cell_length_b 4.608
_cell_length_c 4.863
_cell_angle_alpha 90.00
_cell_angle_beta 90.00
_cell_angle_gamma 90.00
loop_
_atom_site_label
_atom_site_type_symbol
_atom_site_fract_x
_atom_site_fract_y
_atom_site_fract_z
Co1 Co 0.000 0.000 0.000
Si1 Si 0.000 0.500 0.500
Tc1 Tc 0.000 0.000 0.500
Hg1 Hg 0.500 0.500 0.000
# Uncorrected formation energy   0.6999 eV per atom

---

[3]
# Sm7Co2Hg2 GGA-PBE relaxed
data_Sm7Co2Hg2
_chemical_formula_sum 'Sm14 Co4 Hg4'
_space_group_name_H-M_alt 'C m m m'
_space_group_IT_number 65
_space_group_name_Hall '-C 2 2'
_cell_length_a 7.880
_cell_length_b 11.145
_cell_length_c 7.153
_cell_angle_alpha 90.00
_cell_angle_beta 90.00
_cell_angle_gamma 90.00
loop_
_atom_site_label
_atom_site_type_symbol
_atom_site_fract_x
_atom_site_fract_y
_atom_site_fract_z
Sm1 Sm 0.000 0.000 0.000
Sm2 Sm 0.000 0.500 0.236
Sm3 Sm 0.250 0.250 0.245
Co1 Co 0.000 0.294 0.000
Hg1 Hg 0.182 0.000 0.500
# E above lowest polymorph   57 meV per atom
# DFT formation energy   -0.153 eV per atom